# Ti3AlV (GGA-PBE, relaxed)
# VASP energy ... -137.5 eV per cell
# Fermi-level density of states ... 1.299 states/eV/atom
# Calculated volume ... 352 Å³/cell
data_Ti3AlV
_chemical_formula_sum 'Ti12 Al4 V4'
_space_group_name_H-M_alt 'I m m a'
_space_group_IT_number 74
_space_group_name_Hall '-I 2b 2'
_cell_length_a 5.061
_cell_length_b 7.438
_cell_length_c 9.354
_cell_angle_alpha 90.00
_cell_angle_beta 90.00
_cell_angle_gamma 90.00
loop_
_atom_site_label
_atom_site_fract_x
_atom_site_fract_y
_atom_site_fract_z
Ti1 0.000 0.062 0.179
Ti2 0.250 0.250 0.750
Al1 0.000 0.000 0.500
V1 0.000 0.250 0.980